Compound: ThSc4Rh2
Source: Alexandria
Functional: PBE
Structure: optimized geometry

## Properties
The crystal system is tetragonal. For the density of states at the Fermi level, the calculation gives 18.2 states/eV per cell. The calculated volume is 314 Å³ per cell. Its space group is P4_2/mnm. For the energy of formation from the pure elements, the calculation gives -0.501 eV per atom.

a b c (Å): 9.189 9.189 3.716
angles (deg): 90.00 90.00 90.00
Atoms (fractional coordinates):
Th 0.000 0.000 0.000
Th 0.500 0.500 0.500
Sc 0.104 0.337 0.500
Sc 0.163 0.604 0.000
Sc 0.337 0.104 0.500
Sc 0.396 0.837 0.000
Sc 0.604 0.163 0.000
Sc 0.663 0.896 0.500
Sc 0.837 0.396 0.000
Sc 0.896 0.663 0.500
Rh 0.171 0.829 0.500
Rh 0.329 0.329 0.000
Rh 0.671 0.671 0.000
Rh 0.829 0.171 0.500